The following is a DFT calculation (PBE) of a relaxed structure of LaSmPa.

Summary:
Polymorph energy (0 for the lowest one), eV/f.u.: 0.006
SG: P3m1 (156)
Calculated formation energy, eV/atom: 0.163
Final energy, eV for the cell shown: -18.7

Cell: 3.475 3.475 8.813 Å, 90.00 90.00 120.00°
Fractional coordinates of all 3 atoms:
Pa 0.000 0.000 0.001
La 0.333 0.667 0.687
Sm 0.667 0.333 0.312